Below is an optimized crystal structure of InHSe2, with properties calculated at the PBE level.

POSCAR file:
```
InHSe2
1.0
7.2234 0.0004 0.0071
-0.2326 3.9875 -0.0005
-0.1606 -0.6250 6.7500
H Se In
2 4 2
Cartesian
6.8965 2.4212 2.4629
3.7136 0.9868 1.3951
1.2569 2.4960 5.7057
6.0007 3.6125 2.5157
2.6560 0.9191 2.4577
4.6507 0.8221 5.8071
3.6180 2.8605 4.0810
-0.1287 0.4092 4.9374
```

Results
Distance to the lowest polymorph of the same formula ... 25 meV per atom
Theoretical density ... 4.68 g/cm3
E ... -0.2631 Ry per atom